VASP calculation (GGA+U) on an optimized crystal structure of AlInNiF6.

Summary:
N(E_F): 0.00 states/eV/f.u.
Total DFT energy (no corrections): -4.936 eV/atom
SG: C2 (5)

Unit cell a=5.2012 b=5.2012 c=6.0159 alpha=90.07 beta=90.07 gamma=119.96
Positions (direct):
Al  0.0000  0.0000  0.0000
In  0.3332  0.6668  0.5000
Ni  0.6665  0.3335  0.0000
F  0.3045  0.2758  0.8269
F  0.3059  0.0295  0.1731
F  0.7228  0.0281  0.8272
F  0.7242  0.6955  0.1731
F  0.9705  0.6941  0.8269
F  0.9719  0.2772  0.1728